Record 1
Compound: Pm3Sm2ScTe6
Source: Alexandria via LeMat-Bulk
Functional: PBE
Structure: optimized geometry

abc: 9.868 9.868 8.866
angles: 102.80 102.80 25.70
Fractional coordinates of all 12 atoms:
Pm 0.000 0.000 0.000
Pm 0.326 0.326 0.663
Pm 0.674 0.674 0.337
Sm 0.331 0.331 0.166
Sm 0.669 0.669 0.834
Sc 0.000 0.000 0.500
Te 0.157 0.157 0.579
Te 0.166 0.166 0.082
Te 0.498 0.498 0.734
Te 0.502 0.502 0.266
Te 0.834 0.834 0.918
Te 0.843 0.843 0.421

- ΔE_f (raw) (eV per atom) = -1.34

Record 2
Compound: PmSm2ScTe4
Source: Alexandria via LeMat-Bulk
Functional: PBE
Structure: optimized geometry

abc: 7.625 4.344 7.628
angles: 90.00 108.96 90.00
Fractional coordinates of all 8 atoms:
Pm 0.000 0.000 0.000
Sm 0.500 0.000 0.500
Sm 0.500 0.500 0.000
Sc 0.000 0.500 0.500
Te 0.236 0.000 0.735
Te 0.244 0.500 0.259
Te 0.756 0.500 0.741
Te 0.764 0.000 0.265

- ΔE_f (raw) (eV per atom) = -1.30

Record 3
Compound: PmSm2ThSc
Source: Alexandria via LeMat-Bulk
Functional: PBE
Structure: optimized geometry

abc: 7.884 5.049 7.959
angles: 90.00 90.18 90.00
Fractional coordinates of all 10 atoms:
Pm 0.248 0.250 0.244
Pm 0.752 0.750 0.756
Sm 0.159 0.750 0.947
Sm 0.346 0.750 0.547
Sm 0.654 0.250 0.453
Sm 0.841 0.250 0.053
Th 0.055 0.250 0.648
Th 0.945 0.750 0.352
Sc 0.449 0.250 0.851
Sc 0.551 0.750 0.149

- DFT formation energy (eV per atom) = 0.063

Record 4
Compound: PmSmThSc
Source: Alexandria via LeMat-Bulk
Functional: PBE
Structure: optimized geometry

abc: 3.577 3.577 9.744
angles: 90.00 90.00 90.00
Fractional coordinates of all 4 atoms:
Pm 0.000 0.000 0.000
Sm 0.500 0.500 0.724
Th 0.000 0.000 0.471
Sc 0.500 0.500 0.242

- DFT formation energy (eV per atom) = 0.037
- polymorph energy (0 for the lowest one) (meV/atom) = 0